1.
Tb2Ce3ErP6: relaxed, PBE.

Cell: 7.013 7.013 6.999 Å, 99.62 99.62 120.01°
Each line ends with the local moment (μB).
Atoms (fractional coordinates):
1 Tb 0.333 0.667 0.000  0.01
2 Tb 0.667 0.333 0.000  0.01
3 Ce 0.167 0.833 0.500  0.45
4 Ce 0.833 0.167 0.500  0.45
5 Ce 0.500 0.500 0.500  0.45
6 Er 0.000 0.000 0.000  0.00
7 P 0.918 0.587 0.753  -0.01
8 P 0.751 0.751 0.247  -0.01
9 P 0.082 0.413 0.247  -0.01
10 P 0.587 0.918 0.753  -0.01
11 P 0.249 0.249 0.753  -0.01
12 P 0.413 0.082 0.247  -0.01

Summary:
E_form   -1558 meV/atom
Spin magnetization   1.48 μB per formula unit
DFT total energy   -0.254 hartree per atom

---

2.
WAu2: relaxed, PBE.

Cell: 8.007 8.007 2.800 Å, 90.00 90.00 120.00°
Atoms (fractional coordinates):
1 W 0.000 0.000 0.500
2 W 0.333 0.667 0.000
3 W 0.667 0.333 0.000
4 Au 0.000 0.301 0.000
5 Au 0.000 0.631 0.500
6 Au 0.301 0.000 0.000
7 Au 0.699 0.699 0.000
8 Au 0.631 0.000 0.500
9 Au 0.369 0.369 0.500

Summary:
E_form   553 meV/atom
Spin magnetization   0.00 μB per formula unit
DFT total energy   -0.219 hartree per atom

---

3.
YPIO2: relaxed, PBE.

Cell: 4.110 4.110 5.190 Å, 90.00 90.00 90.00°
Atoms (fractional coordinates):
1 I 0.000 0.000 0.500
2 Y 0.500 0.500 0.500
3 O 0.000 0.500 0.000
4 O 0.500 0.000 0.000
5 P 0.000 0.000 0.000

Summary:
Formation energy from raw total energies   -0.480 eV/atom
Spin magnetization   0.00 μB per formula unit
DFT total energy   -0.189 hartree per atom

---

4.
BaCa2Cl: relaxed, PBE.

Cell: 6.358 6.358 6.358 Å, 60.00 60.00 60.00°
Atoms (fractional coordinates):
1 Ca 0.250 0.250 0.250
2 Ca 0.750 0.750 0.750
3 Ba 0.500 0.500 0.500
4 Cl 0.000 0.000 0.000

Summary:
Formation energy from raw total energies   -0.121 eV/atom
Spin magnetization   0.00 μB per formula unit
DFT total energy   -0.076 hartree per atom